1.
The following is a DFT calculation (PBE) of NaNdTl2 after structural relaxation.

Its space group is R3m (160). As for the energy of formation: -0.104 eV per atom. The size of the total moment comes out at 0.17 μB/f.u. The value obtained for the excess energy over the best structure of this formula in the dataset is 0.174 eV per atom.

a b c (Å): 10.710 10.710 10.710
angles (deg): 19.76 19.76 19.76
Fractional coordinates of all 4 atoms:
Na 0.000 0.000 0.000
Nd 0.167 0.167 0.167
Tl 0.585 0.585 0.585
Tl 0.749 0.749 0.749

=====

2.
The following is a DFT calculation (PBE) of NaNdTl2 after structural relaxation.

Its space group is P4/mmm (123). As for the energy of formation: -0.278 eV per atom. The size of the total moment comes out at 0.00 μB/f.u. The value obtained for the excess energy over the best structure of this formula in the dataset is 0.000 eV per atom.

a b c (Å): 5.374 5.374 3.980
angles (deg): 90.00 90.00 90.00
Fractional coordinates of all 4 atoms:
Na 0.000 0.000 0.000
Nd 0.500 0.500 0.000
Tl 0.000 0.500 0.500
Tl 0.500 0.000 0.500

=====

3.
The following is a DFT calculation (PBE) of NaNd2Tl after structural relaxation.

Its space group is P4/mmm (123). As for the energy of formation: -0.086 eV per atom. The size of the total moment comes out at 0.00 μB/f.u. The value obtained for the excess energy over the best structure of this formula in the dataset is 0.014 eV per atom.

a b c (Å): 5.222 5.222 4.462
angles (deg): 90.00 90.00 90.00
Fractional coordinates of all 4 atoms:
Na 0.000 0.000 0.000
Nd 0.000 0.500 0.500
Nd 0.500 0.000 0.500
Tl 0.500 0.500 0.000

=====

4.
The following is a DFT calculation (PBE) of NaNdTl2 after structural relaxation.

Its space group is Fm-3m (225). As for the energy of formation: -0.267 eV per atom. The size of the total moment comes out at 0.00 μB/f.u. The value obtained for the excess energy over the best structure of this formula in the dataset is 0.011 eV per atom.

a b c (Å): 5.431 5.431 5.431
angles (deg): 60.00 60.00 60.00
Fractional coordinates of all 4 atoms:
Na 0.000 0.000 0.000
Nd 0.500 0.500 0.500
Tl 0.250 0.250 0.250
Tl 0.750 0.750 0.750

=====

5.
The following is a DFT calculation (PBE) of NaNdTl4 after structural relaxation.

Its space group is P1 (1). As for the energy of formation: -0.167 eV per atom. The size of the total moment comes out at 0.00 μB/f.u. The value obtained for the excess energy over the best structure of this formula in the dataset is 0.000 eV per atom.

a b c (Å): 3.678 5.136 9.305
angles (deg): 90.04 92.84 90.04
Fractional coordinates of all 6 atoms:
Na 0.000 0.000 0.000
Nd 0.002 0.500 0.506
Tl 0.367 0.000 0.335
Tl 0.394 0.500 0.841
Tl 0.616 0.000 0.667
Tl 0.624 0.500 0.169

=====

6.
The following is a DFT calculation (PBE) of NaNd2Tl3 after structural relaxation.

Its space group is P-3m1 (164). As for the energy of formation: -0.304 eV per atom. The size of the total moment comes out at 0.00 μB/f.u. The value obtained for the excess energy over the best structure of this formula in the dataset is 0.000 eV per atom.

a b c (Å): 5.456 5.456 13.467
angles (deg): 90.00 90.00 120.00
Fractional coordinates of all 12 atoms:
Na 0.333 0.667 0.165
Na 0.667 0.333 0.835
Nd 0.000 0.000 0.000
Nd 0.000 0.000 0.500
Nd 0.333 0.667 0.676
Nd 0.667 0.333 0.324
Tl 0.000 0.000 0.249
Tl 0.000 0.000 0.751
Tl 0.333 0.667 0.414
Tl 0.333 0.667 0.919
Tl 0.667 0.333 0.081
Tl 0.667 0.333 0.586

=====

7.
The following is a DFT calculation (PBE) of NaNdTmTl after structural relaxation.

Its space group is F-43m (216). As for the energy of formation: -0.053 eV per atom. The size of the total moment comes out at 0.00 μB/f.u.

a b c (Å): 5.457 5.457 5.457
angles (deg): 60.00 60.00 60.00
Fractional coordinates of all 4 atoms:
Na 0.000 0.000 0.000
Nd 0.750 0.750 0.750
Tm 0.250 0.250 0.250
Tl 0.500 0.500 0.500

=====

8.
The following is a DFT calculation (PBE) of NaNdYTl after structural relaxation.

Its space group is F-43m (216). As for the energy of formation: -0.094 eV per atom. The size of the total moment comes out at 0.00 μB/f.u.

a b c (Å): 5.491 5.491 5.491
angles (deg): 60.00 60.00 60.00
Fractional coordinates of all 4 atoms:
Na 0.000 0.000 0.000
Nd 0.250 0.250 0.250
Y 0.750 0.750 0.750
Tl 0.500 0.500 0.500

=====

9.
The following is a DFT calculation (PBE) of NaNdY2Tl4 after structural relaxation.

Its space group is R-3m (166). As for the energy of formation: -0.314 eV per atom. The size of the total moment comes out at 0.00 μB/f.u.

a b c (Å): 9.473 9.473 9.473
angles (deg): 32.90 32.90 32.90
Fractional coordinates of all 8 atoms:
Na 0.000 0.000 0.000
Nd 0.500 0.500 0.500
Y 0.254 0.254 0.254
Y 0.746 0.746 0.746
Tl 0.123 0.123 0.123
Tl 0.374 0.374 0.374
Tl 0.626 0.626 0.626
Tl 0.877 0.877 0.877

=====

10.
The following is a DFT calculation (PBE) of NaNd2Tm after structural relaxation.

Its space group is P4/mmm (123). As for the energy of formation: 0.193 eV per atom. The size of the total moment comes out at 0.00 μB/f.u. The value obtained for the excess energy over the best structure of this formula in the dataset is 0.093 eV per atom.

a b c (Å): 5.932 5.932 3.762
angles (deg): 90.00 90.00 90.00
Fractional coordinates of all 4 atoms:
Na 0.000 0.000 0.000
Nd 0.000 0.500 0.500
Nd 0.500 0.000 0.500
Tm 0.500 0.500 0.000

=====

11.
The following is a DFT calculation (PBE) of NaNdTm after structural relaxation.

Its space group is P3m1 (156). As for the energy of formation: 0.134 eV per atom. The size of the total moment comes out at 0.00 μB/f.u. The value obtained for the excess energy over the best structure of this formula in the dataset is 0.000 eV per atom.

a b c (Å): 3.562 3.562 9.217
angles (deg): 90.00 90.00 120.00
Fractional coordinates of all 3 atoms:
Na 0.000 0.000 0.000
Nd 0.333 0.667 0.645
Tm 0.667 0.333 0.344

=====

12.
The following is a DFT calculation (PBE) of NaNd2Tm after structural relaxation.

Its space group is R-3m (166). As for the energy of formation: 0.127 eV per atom. The size of the total moment comes out at 0.00 μB/f.u. The value obtained for the excess energy over the best structure of this formula in the dataset is 0.026 eV per atom.

a b c (Å): 13.007 13.007 13.007
angles (deg): 15.71 15.71 15.71
Fractional coordinates of all 4 atoms:
Na 0.000 0.000 0.000
Nd 0.093 0.093 0.093
Nd 0.907 0.907 0.907
Tm 0.500 0.500 0.500